DFT (PBE) results for a relaxed structure of RbBiTe2Ir.

Results
E_form (uncorrected): 8.134 kcal/mol of atoms
V: 162 Å³/f.u.

abc: 5.2595 5.2595 5.8599
angles: 90.00 90.00 90.00
Closest atoms and distances in Å follow each position.
Space group P4/mmm (No. 123)
Unique sites:
Rb1 0.0000 0.0000 0.0000 [1 per cell]  2 Ir 2.93
Bi1 0.5000 0.5000 0.0000 [1 per cell]  4 Rb 3.72, 8 Te 3.94
Te1 0.0000 0.5000 0.5000 [2 per cell]  2 Ir 2.63
Ir1 0.0000 0.0000 0.5000 [1 per cell]  4 Te 2.63, 2 Rb 2.93